First-principles (PBE) data for crystalline CuTcRu at its relaxed geometry, as listed in the Alexandria database.

Cell lengths 8.6048, 3.7757, 5.2866 Å; angles 90.00, 107.16, 90.00 degrees
Closest atoms and distances in Å follow each position.
Space group Cm (No. 8)
One atom of each set of equivalent atoms:
Cu1 0.0000 0.0000 0.0000 (multiplicity 2)  2 Cu 2.53, 4 Tc 2.63-2.72, 5 Ru 2.64-2.79
Cu2 0.1492 0.5000 0.8530 (multiplicity 2)  2 Cu 2.53, 4 Ru 2.64-2.72, 5 Tc 2.67-2.76
Tc1 0.3136 0.0000 0.6814 (multiplicity 2)  4 Ru 2.51-2.79, 5 Cu 2.67-2.76, 3 Tc 2.69-2.77
Tc2 0.4873 0.5000 0.4919 (multiplicity 2)  5 Ru 2.62-2.69, 4 Cu 2.63-2.75, 3 Tc 2.69-2.77
Ru1 0.1608 0.5000 0.3602 (multiplicity 2)  5 Tc 2.62-2.69, 4 Cu 2.64-2.75, 3 Ru 2.65-2.81
Ru2 0.3390 0.0000 0.1676 (multiplicity 2)  4 Tc 2.51-2.79, 5 Cu 2.64-2.79, 3 Ru 2.65-2.81

Output
- Formation energy: 166 meV per atom
- Energy above the lowest structure with this stoichiometry: 0.058 eV per atom
- Raw total energy: -92.96 eV for the cell shown